# 1
## Ni2MoOs (GGA-PBE)

Data for Ni2MoOs after structural relaxation.

abc: 2.6165 3.8019 5.2264
angles: 90.00 90.00 90.00
Closest atoms and distances in Å follow each position.
Fractional positions:
Ni (0.0000, 0.0000, 0.2430)  4 Ni 2.54-2.69, 4 Os 2.63, 4 Mo 2.67
Ni (0.0000, 0.0000, 0.7570)  4 Ni 2.54-2.69, 4 Os 2.63, 4 Mo 2.67
Mo (0.5000, 0.5000, 0.5000)  2 Os 2.61, 2 Mo 2.62, 8 Ni 2.67
Os (0.5000, 0.5000, 0.0000)  2 Mo 2.61, 2 Os 2.62, 8 Ni 2.63

Computed properties:
- crystal system = orthorhombic
- energy relative to the elements (eV/atom) = 0.089
- space group = Pmmm
- energy above the lowest structure with this stoichiometry (eV/atom) = 0.102

=====

# 2
## SrBi2I (GGA-PBE)

Data for SrBi2I after structural relaxation.

abc: 4.7398 4.7398 27.7856
angles: 90.00 90.00 90.00
Closest atoms and distances in Å follow each position.
Fractional positions:
Sr (0.0000, 0.0000, 0.0000)  4 I 3.35
Sr (0.0000, 0.5000, 0.2500)  4 I 3.35
Sr (0.5000, 0.0000, 0.7500)  4 I 3.35
Sr (0.5000, 0.5000, 0.5000)  4 I 3.35
Bi (0.2024, 0.2500, 0.1250)  2 Bi 3.05
Bi (0.2500, 0.7024, 0.3750)  2 Bi 3.05
Bi (0.2500, 0.7976, 0.8750)  2 Bi 3.05
Bi (0.2976, 0.2500, 0.6250)  2 Bi 3.05
Bi (0.7024, 0.7500, 0.6250)  2 Bi 3.05
Bi (0.7500, 0.2024, 0.8750)  2 Bi 3.05
Bi (0.7500, 0.2976, 0.3750)  2 Bi 3.05
Bi (0.7976, 0.7500, 0.1250)  2 Bi 3.05
I (0.0000, 0.0000, 0.5000)  4 Sr 3.35
I (0.0000, 0.5000, 0.7500)  4 Sr 3.35
I (0.5000, 0.0000, 0.2500)  4 Sr 3.35
I (0.5000, 0.5000, 0.0000)  4 Sr 3.35

Computed properties:
- uncorrected formation energy (eV/atom) = -0.620
- crystal system = tetragonal
- space group = I-42d
- energy above the lowest structure with this stoichiometry (eV/atom) = 0.000

=====

# 3
## RbErMnCl6 (GGA-PBE)

Data for RbErMnCl6 after structural relaxation.

abc: 6.4637 6.4637 15.0474
angles: 90.00 90.00 120.00
Closest atoms and distances in Å follow each position.
Fractional positions:
Rb (0.0000, 0.0000, 0.0000)  6 Cl 3.33
Rb (0.0000, 0.0000, 0.5000)  6 Cl 3.33
Er (0.3333, 0.6667, 0.2500)  6 Cl 2.63
Er (0.6667, 0.3333, 0.7500)  6 Cl 2.63
Mn (0.3333, 0.6667, 0.7500)  6 Cl 2.38
Mn (0.6667, 0.3333, 0.2500)  6 Cl 2.38
Cl (0.0291, 0.3811, 0.6551)  1 Mn 2.38, 1 Er 2.63
Cl (0.0291, 0.6481, 0.8449)  1 Mn 2.38, 1 Er 2.63
Cl (0.3519, 0.3811, 0.8449)  1 Mn 2.38, 1 Er 2.63
Cl (0.3519, 0.9709, 0.6551)  1 Mn 2.38, 1 Er 2.63
Cl (0.3811, 0.0291, 0.1551)  1 Mn 2.38, 1 Er 2.63
Cl (0.3811, 0.3519, 0.3449)  1 Mn 2.38, 1 Er 2.63
Cl (0.6189, 0.6481, 0.6551)  1 Mn 2.38, 1 Er 2.63
Cl (0.6189, 0.9709, 0.8449)  1 Mn 2.38, 1 Er 2.63
Cl (0.6481, 0.0291, 0.3449)  1 Mn 2.38, 1 Er 2.63
Cl (0.6481, 0.6189, 0.1551)  1 Mn 2.38, 1 Er 2.63
Cl (0.9709, 0.3519, 0.1551)  1 Mn 2.38, 1 Er 2.63
Cl (0.9709, 0.6189, 0.3449)  1 Mn 2.38, 1 Er 2.63

Computed properties:
- uncorrected formation energy (eV/atom) = -1.585
- crystal system = trigonal
- space group = P-31c

=====

| no. | calculated density (g/cm³) | total moment (μB/atom) |
| --- | --- | --- |
| 1 | 12.9 | 0.0001 |
| 2 | 6.7 | 0.0000 |
| 3 | 3.2 | 0.1045 |